# Be2TeAu

A crystal of Be2TeAu relaxed with PBEsol (SCAN, Alexandria).

Symmetry: Cm, No. 8
Uncorrected formation energy: 0.20 eV/f.u.
Spin magnetization: 0.000 μB/f.u.

```
4
Lattice="3.820 -1.822 0.000 3.820 1.822 0.000 -0.397 0.000 5.292" Properties=species:S:1:pos:R:3 pbc="T T T"
Be 0.000 0.000 0.000
Be 4.969 0.000 5.115
Te 1.771 0.000 1.540
Au 2.881 0.000 4.072
```